Density functional theory data (GGA-PBE) for crystalline SmTm3Co at its relaxed geometry.

a = 3.696 Å, b = 6.775 Å, c = 11.011 Å
α = 90.61°, β = 90.00°, γ = 105.83°
Atoms (fractional coordinates):
Sm1 0.832 0.663 0.908
Sm2 0.168 0.337 0.092
Tm1 0.061 0.123 0.372
Tm2 0.939 0.877 0.628
Tm3 0.437 0.874 0.156
Tm4 0.563 0.126 0.844
Tm5 0.215 0.429 0.636
Tm6 0.785 0.571 0.364
Co1 0.584 0.168 0.558
Co2 0.416 0.832 0.442

Computed properties:
For the final energy, the calculation gives -5.159 eV/atom. As for the total magnetic moment: 0.00 μB per formula unit. The formation energy comes out at -0.56 eV per formula unit. The energy relative to the lowest polymorph listed for this composition comes out at 0.000 eV per atom.

***

Density functional theory data (GGA-PBE) for crystalline Re2RuRh at its relaxed geometry.

a = 2.733 Å, b = 2.733 Å, c = 7.821 Å
α = 90.00°, β = 90.00°, γ = 90.00°
Atoms (fractional coordinates):
Re1 0.000 0.000 0.989
Re2 0.500 0.500 0.257
Rh1 0.000 0.000 0.495
Ru1 0.500 0.500 0.759

Computed properties:
For the final energy, the calculation gives -10.384 eV/atom. As for the total magnetic moment: 0.00 μB per formula unit. The formation energy comes out at -0.01 eV per formula unit. The energy relative to the lowest polymorph listed for this composition comes out at 0.143 eV per atom.

***

Look up the final energy of the second one.
-10.384 eV/atom